No. 1
Material: La2TbCd4
Method: DFT, GGA-PBE
State: relaxed

Cell and atoms, written as POSCAR:
```
La2TbCd4
1.0
5.134 0.000 1.604
2.316 4.581 1.604
-0.106 -0.065 9.357
Cd Tb La
4 1 2
Direct
0.875 0.875 0.374
0.125 0.125 0.626
0.625 0.625 0.125
0.375 0.375 0.875
0.000 0.000 0.000
0.751 0.751 0.746
0.249 0.249 0.254
```

***

No. 2
GGA-PBE La3Tb4Cd, relaxed; energy above the most stable polymorph in this dataset = 0 meV per atom
1.0
-0.677 -1.848 3.096
2.067 -2.780 -1.207
15.561 8.014 8.184
Cd Tb La
1 4 3
Direct
0.500 0.500 0.000
0.000 0.000 0.897
0.000 0.000 0.103
0.000 0.000 0.368
0.000 0.000 0.632
0.500 0.500 0.234
0.500 0.500 0.500
0.500 0.500 0.766

***

No. 3
Material: La2Tb4Cd
Method: DFT, GGA-PBE
State: relaxed

Cell and atoms, written as POSCAR:
```
La2Tb4Cd
1.0
-3.510 -4.406 -1.993
4.364 -4.493 2.247
-3.479 2.104 10.962
La Tb Cd
4 8 2
Direct
0.589 0.750 0.018
0.411 0.250 0.982
0.274 0.250 0.433
0.726 0.750 0.567
0.633 0.494 0.287
0.992 0.750 0.871
0.008 0.250 0.129
0.633 0.006 0.287
0.857 0.250 0.573
0.367 0.994 0.713
0.367 0.506 0.713
0.143 0.750 0.427
0.154 0.750 0.160
0.846 0.250 0.840
```

***

No. 4
Material: La12TbCd3
Method: DFT, GGA-PBE
State: relaxed

Cell and atoms, written as POSCAR:
```
La12TbCd3
1.0
-2.056 -3.183 3.414
4.578 -0.650 2.151
-3.648 15.803 12.541
La Tb Cd
12 1 3
Direct
0.500 0.500 0.000
0.500 0.500 0.252
0.500 0.500 0.500
0.500 0.500 0.748
0.500 0.000 0.129
0.500 0.000 0.377
0.500 0.000 0.623
0.500 0.000 0.871
0.000 0.500 0.129
0.000 0.500 0.377
0.000 0.500 0.623
0.000 0.500 0.871
0.000 0.000 0.000
0.000 0.000 0.255
0.000 0.000 0.500
0.000 0.000 0.745
```

***

No. 5
Material: La3TbCd4
Method: DFT, GGA-PBE
State: relaxed

Cell and atoms, written as POSCAR:
```
La3TbCd4
1.0
-1.434 -1.837 -3.086
-1.723 -2.564 2.327
-12.839 9.115 0.537
Cd Tb La
4 1 3
Direct
0.000 0.000 0.889
0.000 0.000 0.111
0.000 0.000 0.372
0.000 0.000 0.628
0.500 0.500 0.000
0.500 0.500 0.243
0.500 0.500 0.500
0.500 0.500 0.757
```

***

No. 6
GGA-PBE LaTbThCd, relaxed; energy above the most stable polymorph in this dataset = 0 meV per atom
1.0
-2.707 -0.999 2.229
0.724 -3.506 -0.693
5.844 -0.180 7.016
La Tb Th Cd
1 1 1 1
Direct
0.000 0.000 0.083
0.000 0.000 0.554
0.500 0.500 0.813
0.500 0.500 0.335

***

Number 1: volume 31.59 A^3/atom, total DFT energy (no corrections) -2.733 eV per atom. Number 2: volume 32.51 A^3/atom, total DFT energy (no corrections) -4.338 eV per atom. Number 3: volume 31.97 A^3/atom, total DFT energy (no corrections) -4.158 eV per atom. Number 4: volume 33.33 A^3/atom, total DFT energy (no corrections) -4.251 eV per atom. Number 5: volume 29.46 A^3/atom, total DFT energy (no corrections) -3.206 eV per atom. Number 6: volume 30.36 A^3/atom, total DFT energy (no corrections) -4.645 eV per atom.